The following is a PBE calculation of a relaxed LaP3Os3 crystal, from the Alexandria database.

Output
Fermi-level density of states   1.3726 states/eV/atom
Calculated formation energy   -5.98 kcal/mol of atoms
Volume   19.34 Å³/atom
VASP energy   -8.09 eV/atom

```
14
Lattice="-3.5283 -1.8122 -5.1102 4.7848 -3.9083 -1.9177 -2.5501 -4.8258 3.4721" Properties=species:S:1:pos:R:3 pbc="T T T"
P 1.5103 -2.4072 -2.2364
P -0.0789 -3.3900 1.2566
P 2.3136 -5.3441 0.2978
P -3.6768 -4.5254 0.0490
P -2.4017 -2.1126 -1.6871
P -0.2538 -3.3133 -4.7915
Os 1.8245 -3.8373 -3.9933
Os -0.5679 -1.8832 -3.0345
Os 1.7549 -3.1606 -0.0908
Os -2.1572 -2.8659 0.4585
Os 0.4798 -5.5735 1.6452
Os -3.9213 -3.7720 -2.0966
La -0.6468 -5.2731 -1.7779
La 0.0000 0.0000 0.0000
```